The following is a PBE-GGA calculation of an optimized crystal structure of KTaAs, from the Alexandria database.

Cell lengths 3.800, 4.992, 15.139 Å; angles 90.00, 90.00, 90.00 degrees
Space group Fmm2 (No. 42)
One atom of each set of equivalent atoms:
K1 0.000 0.000 0.000 x4
Ta1 0.000 0.000 0.290 x4
As1 0.000 0.000 0.676 x4

Computed properties:
Energy relative to the lowest polymorph listed for this composition: 651 meV/atom

***

The following is a PBE-GGA calculation of an optimized crystal structure of KTa2As, from the Alexandria database.

Cell lengths 12.683, 2.776, 5.409 Å; angles 90.00, 113.25, 90.00 degrees
Space group C2/m (No. 12)
One atom of each set of equivalent atoms:
K1 0.000 0.000 0.000 x2
Ta1 0.202 0.000 0.682 x4
As1 0.000 0.500 0.500 x2

Computed properties:
E: -6.8506 eV/atom

***

- Which formula does entry 1 have?
  KTaAs